Record 1
Ce3Ga5Pt12: relaxed, PBE.

Summary:
Calculated total energy = -5.700 eV per atom
Spin magnetization = 0.00 μB per cell

a b c (Å): 15.269 15.269 15.269
angles (deg): 90.00 90.00 90.00
Space group Ia-3d (No. 230)
Symmetry-distinct sites (fractional):
Ce 0.000 0.250 0.125 x24
Ga 0.000 0.000 0.000 x16
Ga 0.000 0.250 0.375 x24
Pt 0.015 0.067 0.649 x96

=====

Record 2
SnBRh2: relaxed, PBE.

Summary:
Calculated total energy = -6.699 eV per atom
Spin magnetization = 0.00 μB per cell

a b c (Å): 3.2783 3.2783 18.7185
angles (deg): 90.00 90.00 120.00
Space group R3m (No. 160, hexagonal axes)
Symmetry-distinct sites (fractional):
Sn 0.0000 0.0000 0.0000 x3
B 0.0000 0.0000 0.8340 x3
Rh 0.0000 0.0000 0.2257 x3
Rh 0.0000 0.0000 0.4454 x3

=====

Record 3
CdReTe: relaxed, PBE.

Summary:
Calculated total energy = -5.025 eV per atom
Spin magnetization = 0.00 μB per cell
Formation energy (no corrections) = 138 kJ/mol of formula units

a b c (Å): 3.2824 3.2824 7.0018
angles (deg): 90.00 90.00 120.00
Space group P3m1 (No. 156)
Symmetry-distinct sites (fractional):
Cd 0.0000 0.0000 0.0000 x1
Re 0.6667 0.3333 0.3115 x1
Te 0.3333 0.6667 0.5732 x1

=====

Record 4
TbInCu: relaxed, PBE.

Summary:
Calculated total energy = -4.077 eV per atom
Spin magnetization = 0.00 μB per cell

a b c (Å): 6.319 6.318 7.573
angles (deg): 90.00 114.53 90.00
Space group C2/m (No. 12)
Symmetry-distinct sites (fractional):
Tb 0.155 0.000 0.310 x4
In 0.114 0.500 0.228 x4
Cu 0.250 0.250 0.000 x4

=====

Record 5
BaMnS2N: relaxed, PBE.

Summary:
Calculated total energy = -6.206 eV per atom
Spin magnetization = 2.02 μB per cell
Formation energy (no corrections) = -324 kJ/mol of formula units

a b c (Å): 5.046 5.046 3.723
angles (deg): 90.00 90.00 90.00
Space group P4/mmm (No. 123)
Symmetry-distinct sites (fractional):
Ba 0.000 0.000 0.000 x1
Mn 0.500 0.500 0.500 x1
S 0.000 0.500 0.500 x2
N 0.500 0.500 0.000 x1

=====

Record 6
Tb3ZrO6: relaxed, PBE.

Summary:
Calculated total energy = -8.536 eV per atom
Spin magnetization = 0.00 μB per cell
Formation energy (no corrections) = -3200 kJ/mol of formula units

a b c (Å): 9.167 11.067 5.626
angles (deg): 90.00 90.00 90.00
Space group Cmc2_1 (No. 36)
Symmetry-distinct sites (fractional):
Tb 0.000 0.102 0.000 x4
Tb 0.200 0.394 0.952 x8
Zr 0.000 0.338 0.435 x4
O 0.000 0.280 0.781 x4
O 0.000 0.485 0.161 x4
O 0.155 0.016 0.724 x8
O 0.156 0.245 0.246 x8

=====

Record 7
RbAs: relaxed, PBE.

Summary:
Calculated total energy = -3.204 eV per atom
Spin magnetization = 0.00 μB per cell

a b c (Å): 5.511 12.342 4.197
angles (deg): 90.00 90.00 90.00
Space group Cmcm (No. 63)
Symmetry-distinct sites (fractional):
Rb 0.000 0.139 0.250 x4
As 0.000 0.441 0.250 x4

=====

Record 8
ZrCu2Hg: relaxed, PBE.

Summary:
Calculated total energy = -3.898 eV per atom
Spin magnetization = 0.00 μB per cell

a b c (Å): 7.291 7.291 5.696
angles (deg): 90.00 90.00 90.00
Space group I-42d (No. 122)
Symmetry-distinct sites (fractional):
Zr 0.000 0.000 0.000 x4
Cu 0.244 0.250 0.625 x8
Hg 0.000 0.000 0.500 x4